No. 1
A geometry-optimized Rb4AgTe2 structure, computed with PBE-GGA.

Properties
- M_tot: 0.35 μB/cell
- Energy relative to the elements, uncorrected: -4.65 eV per formula unit

a = 6.211 Å, b = 6.211 Å, c = 11.115 Å
α = 73.78°, β = 73.78°, γ = 60.00°
Sites, in units of the cell vectors:
Rb 0.383 0.383 0.851
Te 0.912 0.912 0.263
Te 0.088 0.088 0.737
Rb 0.617 0.617 0.149
Rb 0.792 0.792 0.625
Rb 0.208 0.208 0.375
Ag 0.000 0.000 0.000



No. 2
A geometry-optimized RbAg3Te3 structure, computed with PBE-GGA.

Properties
- Relative energy among the computed polymorphs: 0.000 eV/f.u.
- M_tot: 0.00 μB/cell
- Energy relative to the elements, uncorrected: -1.90 eV per formula unit

a = 7.855 Å, b = 7.855 Å, c = 7.855 Å
α = 90.00°, β = 90.00°, γ = 90.00°
Sites, in units of the cell vectors:
Ag 0.000 0.500 0.250
Ag 0.500 0.250 0.000
Te 0.000 0.250 0.500
Rb 0.000 0.000 0.000
Te 0.500 0.000 0.250
Te 0.750 0.500 0.000
Te 0.250 0.500 0.000
Rb 0.500 0.500 0.500
Ag 0.250 0.000 0.500
Te 0.000 0.750 0.500
Ag 0.750 0.000 0.500
Te 0.500 0.000 0.750
Ag 0.500 0.750 0.000
Ag 0.000 0.500 0.750



No. 3
A geometry-optimized Rb2AgTe2 structure, computed with PBE-GGA.

Properties
- Relative energy among the computed polymorphs: 0.936 eV/f.u.
- M_tot: 0.00 μB/cell
- Energy relative to the elements, uncorrected: -2.42 eV per formula unit

a = 7.296 Å, b = 7.296 Å, c = 6.710 Å
α = 57.07°, β = 57.07°, γ = 90.00°
Sites, in units of the cell vectors:
Te 0.688 0.688 0.624
Rb 0.750 0.250 0.500
Ag 0.000 0.000 0.000
Te 0.312 0.312 0.376
Rb 0.250 0.750 0.500



No. 4
A geometry-optimized Rb3AgTe structure, computed with PBE-GGA.

Properties
- Relative energy among the computed polymorphs: 0.000 eV/f.u.
- M_tot: 0.00 μB/cell
- Energy relative to the elements, uncorrected: -2.03 eV per formula unit

a = 6.957 Å, b = 6.957 Å, c = 6.957 Å
α = 90.00°, β = 90.00°, γ = 90.00°
Sites, in units of the cell vectors:
Ag 0.500 0.500 0.500
Rb 0.000 0.000 0.500
Rb 0.000 0.500 0.000
Rb 0.500 0.000 0.000
Te 0.000 0.000 0.000



No. 5
A geometry-optimized RbAgTe structure, computed with PBE-GGA.

Properties
- M_tot: 0.00 μB/cell
- Energy relative to the elements, uncorrected: -1.01 eV per formula unit

a = 4.179 Å, b = 4.179 Å, c = 6.884 Å
α = 107.67°, β = 107.67°, γ = 90.00°
Sites, in units of the cell vectors:
Te 0.727 0.727 0.455
Ag 0.265 0.265 0.531
Rb 0.007 0.007 0.015



No. 6
A geometry-optimized RbAgTe4 structure, computed with PBE-GGA.

Properties
- M_tot: 0.00 μB/cell
- Energy relative to the elements, uncorrected: -1.56 eV per formula unit

a = 5.580 Å, b = 13.010 Å, c = 10.028 Å
α = 102.53°, β = 123.77°, γ = 64.69°
Sites, in units of the cell vectors:
Te 0.570 0.461 0.783
Ag 0.000 0.000 0.500
Rb 0.478 0.250 0.001
Te 0.986 0.544 0.780
Te 0.015 0.955 0.220
Te 0.425 0.039 0.217
Ag 0.500 0.500 0.500
Te 0.014 0.456 0.220
Rb 0.522 0.750 0.999
Te 0.430 0.539 0.217
Te 0.985 0.045 0.780
Te 0.575 0.961 0.783



No. 7
A geometry-optimized RbAgTe3 structure, computed with PBE-GGA.

Properties
- Relative energy among the computed polymorphs: 0.644 eV/f.u.
- M_tot: 0.00 μB/cell
- Energy relative to the elements, uncorrected: -1.03 eV per formula unit

a = 7.148 Å, b = 7.148 Å, c = 7.148 Å
α = 79.31°, β = 79.31°, γ = 79.31°
Sites, in units of the cell vectors:
Te 0.744 0.745 0.244
Te 0.744 0.245 0.244
Ag 0.994 0.994 0.994
Te 0.745 0.244 0.744
Te 0.244 0.744 0.245
Te 0.245 0.244 0.744
Rb 0.244 0.244 0.244
Rb 0.744 0.744 0.744
Te 0.244 0.744 0.745
Ag 0.494 0.494 0.494



No. 8
A geometry-optimized RbAgTe3 structure, computed with PBE-GGA.

Properties
- Relative energy among the computed polymorphs: 0.000 eV/f.u.
- M_tot: 0.00 μB/cell
- Energy relative to the elements, uncorrected: -1.68 eV per formula unit

a = 7.018 Å, b = 7.032 Å, c = 8.708 Å
α = 92.57°, β = 97.97°, γ = 111.53°
Sites, in units of the cell vectors:
Te 0.071 0.041 0.418
Te 0.540 0.548 0.245
Te 0.539 0.281 0.785
Rb 0.415 0.711 0.657
Te 0.380 0.860 0.229
Te 0.911 0.354 0.403
Te 0.912 0.621 0.862
Ag 0.505 0.214 0.462
Rb 0.037 0.191 0.990
Ag 0.946 0.688 0.185



No. 9
A geometry-optimized Rb2AgTe2 structure, computed with PBE-GGA.

Properties
- Relative energy among the computed polymorphs: 0.748 eV/f.u.
- M_tot: 0.00 μB/cell
- Energy relative to the elements, uncorrected: -2.61 eV per formula unit

a = 8.071 Å, b = 8.071 Å, c = 5.646 Å
α = 90.00°, β = 90.00°, γ = 90.00°
Sites, in units of the cell vectors:
Ag 0.500 0.500 0.000
Te 0.335 0.835 0.000
Rb 0.151 0.651 0.500
Rb 0.349 0.151 0.500
Te 0.665 0.165 0.000
Te 0.165 0.335 0.000
Rb 0.849 0.349 0.500
Ag 0.000 0.000 0.000
Rb 0.651 0.849 0.500
Te 0.835 0.665 0.000



No. 10
A geometry-optimized RbAgTe5 structure, computed with PBE-GGA.

Properties
- M_tot: 0.00 μB/cell
- Energy relative to the elements, uncorrected: -1.59 eV per formula unit

a = 11.387 Å, b = 11.388 Å, c = 7.529 Å
α = 107.20°, β = 71.98°, γ = 143.42°
Sites, in units of the cell vectors:
Te 0.882 0.759 0.562
Ag 0.000 0.000 0.000
Rb 0.471 0.190 0.713
Te 0.732 0.267 0.196
Te 0.268 0.733 0.804
Ag 0.500 0.500 0.500
Te 0.082 0.737 0.218
Te 0.923 0.701 0.880
Te 0.077 0.299 0.120
Rb 0.529 0.810 0.287
Te 0.586 0.820 0.767
Te 0.414 0.180 0.233
Te 0.118 0.241 0.438
Te 0.918 0.263 0.782



No. 11
A geometry-optimized RbAg3Te3 structure, computed with PBE-GGA.

Properties
- Relative energy among the computed polymorphs: 0.190 eV/f.u.
- M_tot: 0.00 μB/cell
- Energy relative to the elements, uncorrected: -1.71 eV per formula unit

a = 7.677 Å, b = 7.677 Å, c = 10.404 Å
α = 68.35°, β = 68.35°, γ = 60.00°
Sites, in units of the cell vectors:
Te 0.767 0.422 0.716
Te 0.095 0.767 0.716
Ag 0.864 0.523 0.410
Ag 0.523 0.202 0.410
Te 0.905 0.233 0.284
Ag 0.136 0.477 0.590
Rb 0.333 0.333 0.000
Te 0.578 0.905 0.284
Te 0.422 0.095 0.716
Ag 0.202 0.864 0.410
Te 0.233 0.578 0.284
Ag 0.798 0.136 0.590
Rb 0.667 0.667 0.000
Ag 0.477 0.798 0.590



No. 12
A geometry-optimized RbAg3Te2 structure, computed with PBE-GGA.

Properties
- M_tot: 0.00 μB/cell
- Energy relative to the elements, uncorrected: -2.30 eV per formula unit

a = 4.647 Å, b = 9.167 Å, c = 9.361 Å
α = 112.17°, β = 89.93°, γ = 104.75°
Sites, in units of the cell vectors:
Ag 0.415 0.826 0.374
Ag 0.690 0.381 0.453
Te 0.519 0.040 0.222
Ag 0.585 0.174 0.626
Te 0.481 0.960 0.778
Rb 0.863 0.728 0.950
Ag 0.940 0.879 0.592
Te 0.801 0.600 0.303
Te 0.199 0.400 0.697
Ag 0.310 0.619 0.547
Ag 0.060 0.121 0.408
Rb 0.137 0.272 0.050



No. 13
A geometry-optimized RbAgTe3 structure, computed with PBE-GGA.

Properties
- Relative energy among the computed polymorphs: 1.258 eV/f.u.
- M_tot: 0.00 μB/cell
- Energy relative to the elements, uncorrected: -0.42 eV per formula unit

a = 5.597 Å, b = 5.597 Å, c = 5.597 Å
α = 90.00°, β = 90.00°, γ = 90.00°
Sites, in units of the cell vectors:
Te 0.000 0.500 0.000
Te 0.000 0.000 0.500
Te 0.500 0.000 0.000
Rb 0.500 0.500 0.500
Ag 0.000 0.000 0.000



No. 14
A geometry-optimized RbAg4Te3 structure, computed with PBE-GGA.

Properties
- M_tot: 0.00 μB/cell
- Energy relative to the elements, uncorrected: -2.29 eV per formula unit

a = 4.581 Å, b = 4.581 Å, c = 11.112 Å
α = 90.00°, β = 90.00°, γ = 90.00°
Sites, in units of the cell vectors:
Te 0.000 0.000 0.000
Te 0.500 0.500 0.683
Ag 0.000 0.500 0.832
Te 0.500 0.500 0.317
Ag 0.500 0.000 0.832
Rb 0.000 0.000 0.500
Ag 0.000 0.500 0.168
Ag 0.500 0.000 0.168



No. 15
A geometry-optimized RbAg6Te4 structure, computed with PBE-GGA.

Properties
- Relative energy among the computed polymorphs: 0.000 eV/f.u.
- M_tot: 0.00 μB/cell
- Energy relative to the elements, uncorrected: -2.41 eV per formula unit

a = 4.591 Å, b = 4.591 Å, c = 15.050 Å
α = 98.77°, β = 98.77°, γ = 90.00°
Sites, in units of the cell vectors:
Te 0.190 0.190 0.380
Rb 0.000 0.000 0.000
Ag 0.875 0.375 0.750
Ag 0.250 0.750 0.500
Te 0.431 0.431 0.861
Ag 0.375 0.875 0.750
Ag 0.125 0.625 0.250
Te 0.810 0.810 0.620
Ag 0.625 0.125 0.250
Te 0.569 0.569 0.139
Ag 0.750 0.250 0.500



No. 16
A geometry-optimized RbAgTe3 structure, computed with PBE-GGA.

Properties
- Relative energy among the computed polymorphs: 6.930 eV/f.u.
- M_tot: 0.00 μB/cell
- Energy relative to the elements, uncorrected: 5.25 eV per formula unit

a = 6.242 Å, b = 6.242 Å, c = 6.242 Å
α = 90.00°, β = 90.00°, γ = 90.00°
Sites, in units of the cell vectors:
Ag 0.500 0.500 0.500
Te 0.500 0.000 0.000
Te 0.000 0.500 0.000
Te 0.000 0.000 0.500
Rb 0.000 0.000 0.000



No. 17
A geometry-optimized Rb12Ag5Te3 structure, computed with PBE-GGA.

Properties
- M_tot: 0.00 μB/cell
- Energy relative to the elements, uncorrected: -5.97 eV per formula unit

a = 18.152 Å, b = 18.152 Å, c = 18.152 Å
α = 109.47°, β = 109.47°, γ = 109.47°
Sites, in units of the cell vectors:
Rb 0.639 0.056 0.228
Te 0.750 0.875 0.625
Rb 0.056 0.417 0.828
Rb 0.728 0.139 0.056
Rb 0.772 0.328 0.911
Rb 0.556 0.228 0.139
Te 0.875 0.125 0.250
Ag 0.500 0.000 0.500
Rb 0.444 0.772 0.861
Rb 0.272 0.861 0.944
Ag 0.625 0.875 0.250
Te 0.375 0.750 0.625
Rb 0.328 0.772 0.411
Rb 0.589 0.728 0.672
Ag 0.750 0.625 0.375
Rb 0.083 0.172 0.444
Rb 0.444 0.672 0.083
Rb 0.172 0.083 0.944
Rb 0.556 0.328 0.917
Rb 0.089 0.917 0.361
Te 0.625 0.375 0.750
Rb 0.417 0.361 0.589
Rb 0.639 0.583 0.911
Te 0.250 0.625 0.875
Ag 0.125 0.750 0.375
Rb 0.089 0.172 0.228
Rb 0.272 0.411 0.828
Rb 0.728 0.589 0.172
Ag 0.750 0.125 0.875
Te 0.250 0.125 0.375
Ag 0.875 0.625 0.750
Rb 0.583 0.944 0.672
Rb 0.828 0.911 0.272
Rb 0.917 0.089 0.861
Rb 0.417 0.056 0.328
Te 0.125 0.875 0.750
Rb 0.917 0.828 0.556
Rb 0.411 0.272 0.328
Rb 0.772 0.444 0.361
Rb 0.911 0.828 0.772
Rb 0.361 0.944 0.772
Ag 0.875 0.250 0.625
Rb 0.911 0.083 0.639
Rb 0.672 0.228 0.589
Rb 0.944 0.583 0.172
Ag 0.125 0.375 0.250
Te 0.375 0.625 0.250
Rb 0.828 0.917 0.056
Ag 0.500 0.500 0.000
Rb 0.228 0.556 0.639
Rb 0.411 0.139 0.583
Ag 0.000 0.500 0.000
Ag 0.000 0.000 0.500
Rb 0.139 0.728 0.556
Te 0.625 0.250 0.375
Ag 0.000 0.500 0.500
Rb 0.083 0.911 0.139
Ag 0.250 0.375 0.625
Rb 0.328 0.556 0.417
Te 0.875 0.750 0.125
Ag 0.375 0.250 0.125
Rb 0.861 0.589 0.917
Ag 0.625 0.750 0.875
Te 0.125 0.250 0.875
Rb 0.139 0.411 0.083
Rb 0.361 0.417 0.089
Rb 0.861 0.272 0.444
Ag 0.500 0.000 0.000
Te 0.750 0.375 0.125
Rb 0.944 0.361 0.272
Ag 0.000 0.000 0.000
Rb 0.583 0.639 0.411
Ag 0.500 0.500 0.500
Rb 0.172 0.089 0.728
Rb 0.589 0.861 0.417
Ag 0.375 0.125 0.750
Rb 0.672 0.444 0.583
Rb 0.228 0.672 0.089
Rb 0.056 0.639 0.728
Ag 0.250 0.875 0.125



No. 18
A geometry-optimized Rb2AgTe2 structure, computed with PBE-GGA.

Properties
- Relative energy among the computed polymorphs: 0.000 eV/f.u.
- M_tot: 0.00 μB/cell
- Energy relative to the elements, uncorrected: -3.36 eV per formula unit

a = 4.932 Å, b = 7.201 Å, c = 12.718 Å
α = 73.86°, β = 78.82°, γ = 69.97°
Sites, in units of the cell vectors:
Te 0.347 0.157 0.149
Rb 0.087 0.737 0.088
Te 0.956 0.678 0.410
Te 0.653 0.843 0.851
Rb 0.305 0.737 0.653
Te 0.044 0.322 0.590
Rb 0.695 0.263 0.347
Rb 0.913 0.263 0.912
Ag 0.581 0.162 0.676
Ag 0.419 0.838 0.324



No. 19
A geometry-optimized Rb3Ag4Te4 structure, computed with PBE-GGA.

Properties
- M_tot: 0.00 μB/cell
- Energy relative to the elements, uncorrected: -5.61 eV per formula unit

a = 4.825 Å, b = 5.089 Å, c = 15.483 Å
α = 99.46°, β = 98.96°, γ = 90.00°
Sites, in units of the cell vectors:
Te 0.198 0.698 0.396
Rb 0.651 0.151 0.301
Ag 0.750 0.750 0.499
Te 0.561 0.561 0.123
Ag 0.250 0.250 0.501
Ag 0.104 0.604 0.209
Te 0.802 0.302 0.604
Te 0.439 0.439 0.877
Rb 0.349 0.849 0.699
Rb 0.000 0.000 0.000
Ag 0.896 0.396 0.791